A plane-wave DFT calculation with GGA-PBE was carried out for RbBaTmCl6 after structural relaxation.

Summary:
N(E_F) (states/eV per atom): 0.0000
Theoretical density (kg/m3): 2958
Magnetic moment (μB per formula unit): 0.0

Cell: 7.645 7.645 13.410 Å, 90.00 90.00 120.00°
Fractional coordinates of all 18 atoms:
Rb (0.000, 0.000, 0.000)
Rb (0.000, 0.000, 0.500)
Ba (0.333, 0.667, 0.250)
Ba (0.667, 0.333, 0.750)
Tm (0.333, 0.667, 0.750)
Tm (0.667, 0.333, 0.250)
Cl (0.046, 0.391, 0.638)
Cl (0.046, 0.656, 0.862)
Cl (0.344, 0.391, 0.862)
Cl (0.344, 0.954, 0.638)
Cl (0.391, 0.046, 0.138)
Cl (0.391, 0.344, 0.362)
Cl (0.609, 0.656, 0.638)
Cl (0.609, 0.954, 0.862)
Cl (0.656, 0.046, 0.362)
Cl (0.656, 0.609, 0.138)
Cl (0.954, 0.344, 0.138)
Cl (0.954, 0.609, 0.362)



A plane-wave DFT calculation with GGA-PBE was carried out for Rb2BaUCl8 after structural relaxation.

Summary:
N(E_F) (states/eV per atom): 0.3650
Theoretical density (kg/m3): 3288
Magnetic moment (μB per formula unit): 2.0

Cell: 5.569 9.803 7.783 Å, 90.00 99.44 90.00°
Fractional coordinates of all 12 atoms:
Rb (0.000, 0.249, 0.000)
Rb (0.000, 0.751, 0.000)
Ba (0.500, 0.000, 0.500)
U (0.500, 0.500, 0.500)
Cl (0.005, 0.000, 0.732)
Cl (0.078, 0.500, 0.298)
Cl (0.431, 0.290, 0.709)
Cl (0.431, 0.710, 0.709)
Cl (0.569, 0.290, 0.291)
Cl (0.569, 0.710, 0.291)
Cl (0.922, 0.500, 0.702)
Cl (0.995, 0.000, 0.268)



A plane-wave DFT calculation with GGA-PBE was carried out for RbBaUCl6 after structural relaxation.

Summary:
Theoretical density (kg/m3): 3133
Magnetic moment (μB per formula unit): 3.0

Cell: 7.821 7.821 13.478 Å, 90.00 90.00 120.00°
Fractional coordinates of all 18 atoms:
Rb (0.000, 0.000, 0.000)
Rb (0.000, 0.000, 0.500)
Ba (0.333, 0.667, 0.250)
Ba (0.667, 0.333, 0.750)
U (0.333, 0.667, 0.750)
U (0.667, 0.333, 0.250)
Cl (0.032, 0.381, 0.636)
Cl (0.032, 0.651, 0.864)
Cl (0.349, 0.381, 0.864)
Cl (0.349, 0.968, 0.636)
Cl (0.381, 0.032, 0.136)
Cl (0.381, 0.349, 0.364)
Cl (0.619, 0.651, 0.636)
Cl (0.619, 0.968, 0.864)
Cl (0.651, 0.032, 0.364)
Cl (0.651, 0.619, 0.136)
Cl (0.968, 0.349, 0.136)
Cl (0.968, 0.619, 0.364)



A plane-wave DFT calculation with GGA-PBE was carried out for Rb2BaWCl6 after structural relaxation.

Summary:
N(E_F) (states/eV per atom): 0.5057
Theoretical density (kg/m3): 3609
Magnetic moment (μB per formula unit): 2.0

Cell: 7.712 7.712 7.712 Å, 60.00 60.00 60.00°
Fractional coordinates of all 10 atoms:
Rb (0.250, 0.250, 0.250)
Rb (0.750, 0.750, 0.750)
Ba (0.000, 0.000, 0.000)
W (0.500, 0.500, 0.500)
Cl (0.274, 0.274, 0.726)
Cl (0.274, 0.726, 0.274)
Cl (0.274, 0.726, 0.726)
Cl (0.726, 0.274, 0.274)
Cl (0.726, 0.274, 0.726)
Cl (0.726, 0.726, 0.274)



A plane-wave DFT calculation with GGA-PBE was carried out for Rb2BaYCl6 after structural relaxation.

Summary:
N(E_F) (states/eV per atom): 0.6428
Theoretical density (kg/m3): 2705
Magnetic moment (μB per formula unit): 0.6

Cell: 8.090 8.090 8.090 Å, 60.00 60.00 60.00°
Fractional coordinates of all 10 atoms:
Rb (0.250, 0.250, 0.250)
Rb (0.750, 0.750, 0.750)
Ba (0.000, 0.000, 0.000)
Y (0.500, 0.500, 0.500)
Cl (0.266, 0.266, 0.734)
Cl (0.266, 0.734, 0.266)
Cl (0.266, 0.734, 0.734)
Cl (0.734, 0.266, 0.266)
Cl (0.734, 0.266, 0.734)
Cl (0.734, 0.734, 0.266)



A plane-wave DFT calculation with GGA-PBE was carried out for RbBaYCl6 after structural relaxation.

Summary:
N(E_F) (states/eV per atom): 0.0000
Theoretical density (kg/m3): 2533
Magnetic moment (μB per formula unit): 0.0

Cell: 7.693 7.693 13.416 Å, 90.00 90.00 120.00°
Fractional coordinates of all 18 atoms:
Rb (0.000, 0.000, 0.000)
Rb (0.000, 0.000, 0.500)
Ba (0.333, 0.667, 0.250)
Ba (0.667, 0.333, 0.750)
Y (0.333, 0.667, 0.750)
Y (0.667, 0.333, 0.250)
Cl (0.042, 0.388, 0.637)
Cl (0.042, 0.654, 0.863)
Cl (0.346, 0.388, 0.863)
Cl (0.346, 0.958, 0.637)
Cl (0.388, 0.042, 0.137)
Cl (0.388, 0.346, 0.363)
Cl (0.612, 0.654, 0.637)
Cl (0.612, 0.958, 0.863)
Cl (0.654, 0.042, 0.363)
Cl (0.654, 0.612, 0.137)
Cl (0.958, 0.346, 0.137)
Cl (0.958, 0.612, 0.363)



no.,formation energy without anion corrections (meV/atom)
1,-2314
2,-1992
3,-2026
4,-1411
5,-2032
6,-2311